Entry 1:
Material: Ba2AgF
Method: DFT, GGA-PBE
State: relaxed

a = 9.090 Å, b = 9.090 Å, c = 9.090 Å
α = 31.86°, β = 31.86°, γ = 31.86°
Sites, in units of the cell vectors:
1 Ba 0.095 0.095 0.095
2 Ba 0.905 0.905 0.905
3 Ag 0.500 0.500 0.500
4 F 0.000 0.000 0.000

Summary:
- Total magnetic moment: 0.0 μB per formula unit
- Volume: 46.46 Å³ per atom

=====

Entry 2:
Material: Ba2Ag2F
Method: DFT, GGA-PBE
State: relaxed

a = 8.068 Å, b = 8.068 Å, c = 5.084 Å
α = 90.00°, β = 90.00°, γ = 90.00°
Sites, in units of the cell vectors:
1 Ba 0.190 0.310 0.000
2 Ba 0.310 0.810 0.000
3 Ba 0.690 0.190 0.000
4 Ba 0.810 0.690 0.000
5 Ag 0.119 0.619 0.500
6 Ag 0.381 0.119 0.500
7 Ag 0.619 0.881 0.500
8 Ag 0.881 0.381 0.500
9 F 0.000 0.000 0.000
10 F 0.500 0.500 0.000

Summary:
- Total magnetic moment: 0.0 μB per formula unit
- Volume: 33.09 Å³ per atom

=====

Entry 3:
Material: BaAgF4
Method: DFT, GGA-PBE
State: relaxed

a = 6.602 Å, b = 6.602 Å, c = 7.810 Å
α = 104.92°, β = 104.92°, γ = 41.52°
Sites, in units of the cell vectors:
1 Ba 0.237 0.763 0.750
2 Ba 0.763 0.237 0.250
3 Ag 0.000 0.500 0.000
4 Ag 0.500 0.000 0.500
5 F 0.116 0.313 0.326
6 F 0.207 0.662 0.056
7 F 0.313 0.116 0.826
8 F 0.338 0.793 0.444
9 F 0.662 0.207 0.556
10 F 0.687 0.884 0.174
11 F 0.793 0.338 0.944
12 F 0.884 0.687 0.674

Summary:
- Total magnetic moment: 1.0 μB per formula unit
- Volume: 18.08 Å³ per atom

=====

Entry 4:
Material: Ba4Ag6F19
Method: DFT, GGA-PBE
State: relaxed

a = 8.598 Å, b = 8.598 Å, c = 8.598 Å
α = 109.47°, β = 109.47°, γ = 109.47°
Sites, in units of the cell vectors:
1 Ba 0.000 0.000 0.683
2 Ba 0.000 0.683 0.000
3 Ba 0.317 0.317 0.317
4 Ba 0.683 0.000 0.000
5 Ag 0.167 0.667 0.500
6 Ag 0.333 0.500 0.833
7 Ag 0.500 0.167 0.667
8 Ag 0.500 0.833 0.333
9 Ag 0.667 0.500 0.167
10 Ag 0.833 0.333 0.500
11 F 0.000 0.000 0.000
12 F 0.000 0.320 0.320
13 F 0.000 0.680 0.680
14 F 0.018 0.372 0.764
15 F 0.236 0.607 0.253
16 F 0.253 0.236 0.607
17 F 0.320 0.000 0.320
18 F 0.320 0.320 0.000
19 F 0.354 0.982 0.747
20 F 0.372 0.764 0.018
21 F 0.393 0.628 0.646
22 F 0.607 0.253 0.236
23 F 0.628 0.646 0.393
24 F 0.646 0.393 0.628
25 F 0.680 0.000 0.680
26 F 0.680 0.680 0.000
27 F 0.747 0.354 0.982
28 F 0.764 0.018 0.372
29 F 0.982 0.747 0.354

Summary:
- Total magnetic moment: 5.1 μB per formula unit
- Volume: 16.87 Å³ per atom

=====

Entry 5:
Material: Ba2AgF
Method: DFT, GGA-PBE
State: relaxed

a = 5.643 Å, b = 5.643 Å, c = 5.643 Å
α = 60.00°, β = 60.00°, γ = 60.00°
Sites, in units of the cell vectors:
1 Ba 0.250 0.250 0.250
2 Ba 0.750 0.750 0.750
3 Ag 0.000 0.000 0.000
4 F 0.500 0.500 0.500

Summary:
- Total magnetic moment: 0.0 μB per formula unit
- Volume: 31.76 Å³ per atom

=====

Entry 6:
Material: BaAgF2
Method: DFT, GGA-PBE
State: relaxed

a = 7.890 Å, b = 7.890 Å, c = 7.890 Å
α = 136.57°, β = 136.57°, γ = 63.09°
Sites, in units of the cell vectors:
1 Ba 0.000 0.000 0.000
2 Ba 0.750 0.250 0.500
3 Ag 0.250 0.750 0.500
4 Ag 0.500 0.500 0.000
5 F 0.072 0.625 0.947
6 F 0.375 0.322 0.447
7 F 0.678 0.125 0.053
8 F 0.875 0.928 0.553

Summary:
- Total magnetic moment: 0.0 μB per formula unit
- Volume: 28.64 Å³ per atom

=====

Entry 7:
Material: Ba5Ag2F12
Method: DFT, GGA-PBE
State: relaxed

a = 7.872 Å, b = 7.872 Å, c = 8.751 Å
α = 105.53°, β = 105.53°, γ = 50.40°
Sites, in units of the cell vectors:
1 Ba 0.000 0.000 0.000
2 Ba 0.308 0.308 0.659
3 Ba 0.320 0.320 0.156
4 Ba 0.680 0.680 0.844
5 Ba 0.692 0.692 0.341
6 Ag 0.216 0.784 0.500
7 Ag 0.784 0.216 0.500
8 F 0.043 0.043 0.739
9 F 0.089 0.591 0.918
10 F 0.106 0.543 0.412
11 F 0.409 0.911 0.082
12 F 0.457 0.894 0.588
13 F 0.495 0.495 0.717
14 F 0.505 0.505 0.283
15 F 0.543 0.106 0.412
16 F 0.591 0.089 0.918
17 F 0.894 0.457 0.588
18 F 0.911 0.409 0.082
19 F 0.957 0.957 0.261

Summary:
- Total magnetic moment: 0.2 μB per formula unit
- Volume: 21.01 Å³ per atom

=====

Entry 8:
Material: BaAgF3
Method: DFT, GGA-PBE
State: relaxed

a = 5.067 Å, b = 5.067 Å, c = 5.067 Å
α = 90.00°, β = 90.00°, γ = 90.00°
Sites, in units of the cell vectors:
1 Ba 0.000 0.000 0.000
2 Ag 0.500 0.500 0.500
3 F 0.000 0.000 0.500
4 F 0.000 0.500 0.000
5 F 0.500 0.000 0.000

Summary:
- Total magnetic moment: 0.0 μB per formula unit
- Volume: 26.02 Å³ per atom

=====

Entry 9:
Material: Ba2AgF8
Method: DFT, GGA-PBE
State: relaxed

a = 7.875 Å, b = 7.875 Å, c = 4.768 Å
α = 107.58°, β = 107.58°, γ = 125.85°
Sites, in units of the cell vectors:
1 Ba 0.177 0.823 0.000
2 Ba 0.823 0.177 0.000
3 Ag 0.500 0.500 0.000
4 F 0.151 0.364 0.758
5 F 0.193 0.193 0.193
6 F 0.274 0.726 0.500
7 F 0.364 0.151 0.758
8 F 0.635 0.848 0.241
9 F 0.726 0.274 0.500
10 F 0.809 0.809 0.809
11 F 0.848 0.635 0.241

Summary:
- Total magnetic moment: 1.2 μB per formula unit
- Volume: 16.30 Å³ per atom

=====

Entry 10:
Material: BaAgF4
Method: DFT, GGA-PBE
State: relaxed

a = 8.024 Å, b = 8.024 Å, c = 5.993 Å
α = 90.00°, β = 90.00°, γ = 147.00°
Sites, in units of the cell vectors:
1 Ba 0.160 0.840 0.750
2 Ba 0.840 0.160 0.250
3 Ag 0.402 0.598 0.750
4 Ag 0.598 0.402 0.250
5 F 0.100 0.900 0.250
6 F 0.304 0.696 0.018
7 F 0.304 0.696 0.482
8 F 0.500 0.500 0.000
9 F 0.500 0.500 0.500
10 F 0.696 0.304 0.518
11 F 0.696 0.304 0.982
12 F 0.900 0.100 0.750

Summary:
- Total magnetic moment: 0.0 μB per formula unit
- Volume: 17.51 Å³ per atom

=====

Entry 11:
Material: BaAg2F6
Method: DFT, GGA-PBE
State: relaxed

a = 7.899 Å, b = 7.899 Å, c = 6.367 Å
α = 98.18°, β = 98.18°, γ = 68.31°
Sites, in units of the cell vectors:
1 Ba 0.186 0.814 0.750
2 Ba 0.814 0.186 0.250
3 Ag 0.071 0.392 0.774
4 Ag 0.392 0.071 0.274
5 Ag 0.608 0.929 0.726
6 Ag 0.929 0.608 0.226
7 F 0.049 0.155 0.597
8 F 0.113 0.606 0.999
9 F 0.155 0.049 0.097
10 F 0.206 0.467 0.563
11 F 0.394 0.887 0.501
12 F 0.467 0.206 0.063
13 F 0.533 0.794 0.937
14 F 0.606 0.113 0.499
15 F 0.794 0.533 0.437
16 F 0.845 0.951 0.903
17 F 0.887 0.394 0.001
18 F 0.951 0.845 0.403

Summary:
- Total magnetic moment: 2.1 μB per formula unit
- Volume: 20.20 Å³ per atom

=====

Entry 12:
Material: Ba3Ag5F12
Method: DFT, GGA-PBE
State: relaxed

a = 12.626 Å, b = 12.626 Å, c = 12.626 Å
α = 109.47°, β = 109.47°, γ = 109.47°
Sites, in units of the cell vectors:
1 Ba 0.125 0.250 0.375
2 Ba 0.125 0.375 0.750
3 Ba 0.250 0.375 0.125
4 Ba 0.250 0.875 0.625
5 Ba 0.375 0.125 0.250
6 Ba 0.375 0.750 0.125
7 Ba 0.625 0.250 0.875
8 Ba 0.625 0.875 0.750
9 Ba 0.750 0.125 0.375
10 Ba 0.750 0.625 0.875
11 Ba 0.875 0.625 0.250
12 Ba 0.875 0.750 0.625
13 Ag 0.000 0.000 0.000
14 Ag 0.000 0.000 0.500
15 Ag 0.000 0.500 0.000
16 Ag 0.000 0.500 0.500
17 Ag 0.125 0.750 0.875
18 Ag 0.125 0.875 0.250
19 Ag 0.250 0.125 0.875
20 Ag 0.250 0.625 0.375
21 Ag 0.375 0.250 0.625
22 Ag 0.375 0.625 0.750
23 Ag 0.500 0.000 0.000
24 Ag 0.500 0.000 0.500
25 Ag 0.500 0.500 0.000
26 Ag 0.500 0.500 0.500
27 Ag 0.625 0.375 0.250
28 Ag 0.625 0.750 0.375
29 Ag 0.750 0.375 0.625
30 Ag 0.750 0.875 0.125
31 Ag 0.875 0.125 0.750
32 Ag 0.875 0.250 0.125
33 F 0.045 0.215 0.132
34 F 0.045 0.330 0.913
35 F 0.084 0.715 0.670
36 F 0.084 0.868 0.413
37 F 0.087 0.632 0.416
38 F 0.087 0.955 0.670
39 F 0.132 0.045 0.215
40 F 0.132 0.587 0.916
41 F 0.170 0.215 0.584
42 F 0.170 0.455 0.587
43 F 0.215 0.132 0.045
44 F 0.215 0.584 0.170
45 F 0.285 0.330 0.916
46 F 0.285 0.455 0.368
47 F 0.330 0.913 0.045
48 F 0.330 0.916 0.285
49 F 0.368 0.285 0.455
50 F 0.368 0.584 0.913
51 F 0.413 0.084 0.868
52 F 0.413 0.830 0.545
53 F 0.416 0.087 0.632
54 F 0.416 0.830 0.785
55 F 0.455 0.368 0.285
56 F 0.455 0.587 0.170
57 F 0.545 0.413 0.830
58 F 0.545 0.632 0.715
59 F 0.584 0.170 0.215
60 F 0.584 0.913 0.368
61 F 0.587 0.170 0.455
62 F 0.587 0.916 0.132
63 F 0.632 0.416 0.087
64 F 0.632 0.715 0.545
65 F 0.670 0.084 0.715
66 F 0.670 0.087 0.955
67 F 0.715 0.545 0.632
68 F 0.715 0.670 0.084
69 F 0.785 0.416 0.830
70 F 0.785 0.868 0.955
71 F 0.830 0.545 0.413
72 F 0.830 0.785 0.416
73 F 0.868 0.413 0.084
74 F 0.868 0.955 0.785
75 F 0.913 0.045 0.330
76 F 0.913 0.368 0.584
77 F 0.916 0.132 0.587
78 F 0.916 0.285 0.330
79 F 0.955 0.670 0.087
80 F 0.955 0.785 0.868

Summary:
- Total magnetic moment: 1.2 μB per formula unit
- Volume: 19.37 Å³ per atom

=====

Number 1: VASP energy -14.165 eV per cell. Number 2: VASP energy -33.478 eV per cell. Number 3: VASP energy -54.222 eV per cell. Number 4: VASP energy -125.157 eV per cell. Number 5: VASP energy -12.936 eV per cell. Number 6: VASP energy -34.143 eV per cell. Number 7: VASP energy -98.418 eV per cell. Number 8: VASP energy -21.786 eV per cell. Number 9: VASP energy -49.005 eV per cell. Number 10: VASP energy -54.110 eV per cell. Number 11: VASP energy -73.583 eV per cell. Number 12: VASP energy -351.222 eV per cell.